## Si2TcW (GGA-PBE)

Data for Si2TcW after structural relaxation.

Output
The value obtained for the total energy is -8.651 eV per atom. The calculation puts the size of the total moment at 0.00 μB/f.u. For the offset from the most stable computed form, the calculation gives 266 meV/atom. As for the crystal system: cubic. As for the formation energy from raw total energies: -109 meV/atom.

```
Si2TcW
1.0
0.0000 3.0159 3.0159
3.0159 0.0000 3.0159
3.0159 3.0159 0.0000
Si Tc W
2 1 1
Direct
0.2500 0.2500 0.2500
0.7500 0.7500 0.7500
0.0000 0.0000 0.0000
0.5000 0.5000 0.5000
```